Here is a relaxed Na2Cr4Mo crystal from the Alexandria database. Energies are from GGA-PBE.

Cell: 8.4468 8.4468 8.4468 Å, 147.40 147.40 46.78°
With the nearest neighbours (Å) after each atom.
Fractional coordinates of all 7 atoms:
Na1 0.1349 0.1349 0.0000  9 Cr 3.16-3.38
Na2 0.8651 0.8651 0.0000  9 Cr 3.16-3.38
Cr1 0.0000 0.5000 0.5000  2 Mo 2.37
Cr2 0.3402 0.3402 0.0000  1 Mo 2.48
Cr3 0.5000 0.0000 0.5000  2 Mo 2.37
Cr4 0.6598 0.6598 0.0000  1 Mo 2.48
Mo1 0.5000 0.5000 0.0000  6 Cr 2.37-2.48

Calculated total energy: -6.1207 eV per atom
N(E_F): 3.84 states/eV/f.u.